Compound: Si2AgHg2
Source: Alexandria
Functional: PBE-GGA
Structure: relaxed

Structure (POSCAR):
```
Si2AgHg2
1.0
6.482 0.000 0.000
0.000 6.482 0.000
0.000 0.000 5.244
Hg Ag Si
4 2 4
Direct
0.676 0.176 0.500
0.324 0.824 0.500
0.824 0.676 0.500
0.176 0.324 0.500
0.000 0.000 0.000
0.500 0.500 0.000
0.132 0.368 0.000
0.368 0.868 0.000
0.632 0.132 0.000
0.868 0.632 0.000
```

Properties
- SG = P4/mbm, No. 127
- E above lowest polymorph (eV/atom) = 0.0000
- total moment (μB/f.u.) = 0.000
- VASP energy (eV/atom) = -2.591